# DyAl4

A relaxed DyAl4 crystal (GGA-PBE, the Alexandria database).

Output
formation energy	-0.34	eV per atom

abc: 4.4050 6.2600 13.7733
angles: 90.00 90.00 90.00
Closest atoms and distances in Å follow each position.
Space group Imma (No. 74)
One atom of each set of equivalent atoms:
Dy  0.0000  0.2500  0.1119 [4 per cell]  13 Al 3.06-3.17
Al  0.0000  0.0000  0.5000 [4 per cell]  2 Al 2.73
Al  0.0000  0.0333  0.6976 [8 per cell]  6 Al 2.63-2.85
Al  0.0000  0.2500  0.8886 [4 per cell]  10 Al 2.85-3.11, 3 Dy 3.08-3.13